A plane-wave DFT calculation with PBEsol was carried out for a geometry-optimized Mg2ReNi structure.

Density of states at the Fermi level   0.68 states/eV/atom
ΔE_f   280 meV per atom
Crystal system   monoclinic
Space group   C2/m
Total magnetic moment   0.0000 μB per atom
E_tot   -5.451 eV per atom

POSCAR file:
```
Mg2ReNi
1.0
5.397 0.000 0.000
0.000 8.758 0.000
-0.868 0.000 2.471
Mg Re Ni
4 2 2
Cartesian
1.349 2.189 0.000
1.349 6.568 0.000
4.048 2.189 0.000
4.048 6.568 0.000
-0.434 0.000 1.235
2.264 4.379 1.235
-0.434 4.379 1.235
2.264 0.000 1.235
```